The following is a DFT calculation (PBE) of a relaxed structure of CaSm12Ho5.

## Properties
Calculated density = 7.39 Mg/m³
N(E_F) = 1.483 states/eV/atom
Total magnetization = 0.00 μB/f.u.
V = 599.7 Å³ per cell
Formation energy from the elements = 34 meV/atom

Structure (POSCAR):
```
CaSm12Ho5
1.0
10.823 0.000 0.000
0.000 5.113 0.000
-0.042 0.000 10.837
Ca Sm Ho
1 12 5
Direct
0.000 0.000 0.000
0.002 0.000 0.663
0.168 0.500 0.501
0.171 0.500 0.172
0.334 0.000 0.334
0.337 0.000 0.998
0.499 0.500 0.832
0.501 0.500 0.168
0.663 0.000 0.002
0.666 0.000 0.666
0.829 0.500 0.828
0.832 0.500 0.499
0.998 0.000 0.337
0.173 0.500 0.827
0.334 0.000 0.666
0.500 0.500 0.500
0.666 0.000 0.334
0.827 0.500 0.173
```


The following is a DFT calculation (PBE) of a relaxed structure of Pr3HgN.

## Properties
Calculated density = 8.18 Mg/m³
N(E_F) = 0.524 states/eV/atom
Total magnetization = 0.00 μB/f.u.
E_form (uncorrected) = -0.7588 eV/atom
V = 517.4 Å³ per cell

Structure (POSCAR):
```
Pr3HgN
1.0
7.206 0.000 0.000
0.000 10.070 0.000
0.000 0.000 7.131
Pr Hg N
12 4 4
Direct
0.002 0.250 0.074
0.246 0.036 0.745
0.246 0.464 0.745
0.254 0.536 0.245
0.254 0.964 0.245
0.498 0.750 0.574
0.502 0.250 0.426
0.746 0.036 0.755
0.746 0.464 0.755
0.754 0.536 0.255
0.754 0.964 0.255
0.998 0.750 0.926
0.005 0.750 0.489
0.495 0.250 0.989
0.505 0.750 0.011
0.995 0.250 0.511
0.000 0.000 0.000
0.000 0.500 0.000
0.500 0.000 0.500
0.500 0.500 0.500
```


The following is a DFT calculation (PBE) of a relaxed structure of Ag2OF.

## Properties
Calculated density = 5.94 Mg/m³
N(E_F) = 1.194 states/eV/atom
E above lowest polymorph = 80.2 meV/atom
Total magnetization = 0.00 μB/f.u.
E_form (uncorrected) = -0.3671 eV/atom
V = 140.3 Å³ per cell

Structure (POSCAR):
```
Ag2OF
1.0
-2.402 2.402 6.081
2.402 -2.402 6.081
2.402 2.402 -6.081
Ag O F
4 2 2
Direct
0.061 0.625 0.936
0.375 0.311 0.436
0.689 0.125 0.064
0.875 0.939 0.564
0.000 0.000 0.000
0.750 0.250 0.500
0.250 0.750 0.500
0.500 0.500 0.000
```


The following is a DFT calculation (PBE) of a relaxed structure of CaLa2Pm2Ho2.

## Properties
Calculated density = 6.35 Mg/m³
N(E_F) = 1.635 states/eV/atom
Total magnetization = 0.00 μB/f.u.
V = 245.1 Å³ per cell
Formation energy from the elements = 63 meV/atom

Structure (POSCAR):
```
CaLa2Pm2Ho2
1.0
5.805 -2.608 0.000
5.805 2.608 0.000
-1.203 0.000 8.096
Ca La Pm Ho
1 2 2 2
Direct
0.000 0.000 0.000
0.144 0.144 0.432
0.856 0.856 0.568
0.283 0.283 0.855
0.717 0.717 0.145
0.425 0.425 0.293
0.575 0.575 0.707
```


The following is a DFT calculation (PBE) of a relaxed structure of Ti2PtC.

## Properties
Calculated density = 8.28 Mg/m³
N(E_F) = 0.473 states/eV/atom
Total magnetization = 0.00 μB/f.u.
V = 121.5 Å³ per cell
Formation energy from the elements = -311 meV/atom

Structure (POSCAR):
```
Ti2PtC
1.0
-2.984 2.984 3.412
2.984 -2.984 3.412
2.984 2.984 -3.412
Ti Pt C
4 2 2
Direct
0.054 0.625 0.929
0.375 0.304 0.429
0.696 0.125 0.071
0.875 0.946 0.571
0.250 0.750 0.500
0.500 0.500 0.000
0.000 0.000 0.000
0.750 0.250 0.500
```


The following is a DFT calculation (PBE) of a relaxed structure of Sc5AgSe8.

## Properties
Calculated density = 4.45 Mg/m³
Total magnetization = 0.00 μB/f.u.
E_form (uncorrected) = -1.4930 eV/atom
V = 359.8 Å³ per cell

Structure (POSCAR):
```
Sc5AgSe8
1.0
0.000 5.645 5.645
5.645 0.000 5.645
5.645 5.645 0.000
Sc Ag Se
5 1 8
Direct
0.000 0.000 0.000
0.140 0.620 0.620
0.620 0.140 0.620
0.620 0.620 0.140
0.620 0.620 0.620
0.250 0.250 0.250
0.384 0.384 0.384
0.384 0.384 0.848
0.384 0.848 0.384
0.398 0.867 0.867
0.848 0.384 0.384
0.867 0.398 0.867
0.867 0.867 0.398
0.867 0.867 0.867
```


The following is a DFT calculation (PBE) of a relaxed structure of CdAgIr2.

## Properties
Calculated density = 14.96 Mg/m³
N(E_F) = 0.901 states/eV/atom
Total magnetization = 0.00 μB/f.u.
V = 67.1 Å³ per cell
Formation energy from the elements = 317 meV/atom

Structure (POSCAR):
```
CdAgIr2
1.0
1.398 -2.435 0.000
1.398 2.435 0.000
0.000 0.000 9.860
Cd Ag Ir
1 1 2
Direct
0.000 0.000 0.000
0.500 0.500 0.268
0.000 0.000 0.519
0.500 0.500 0.746
```


The following is a DFT calculation (PBE) of a relaxed structure of InGa3Hg3.

## Properties
Calculated density = 7.01 Mg/m³
N(E_F) = 0.760 states/eV/atom
Total magnetization = 0.00 μB/f.u.
V = 438.3 Å³ per cell
Formation energy from the elements = 283 meV/atom

Structure (POSCAR):
```
InGa3Hg3
1.0
7.596 0.000 0.000
0.000 7.596 0.000
0.000 0.000 7.596
In Ga Hg
2 6 6
Direct
0.000 0.000 0.000
0.500 0.500 0.500
0.000 0.250 0.500
0.000 0.750 0.500
0.250 0.500 0.000
0.500 0.000 0.250
0.500 0.000 0.750
0.750 0.500 0.000
0.000 0.500 0.250
0.000 0.500 0.750
0.250 0.000 0.500
0.500 0.250 0.000
0.500 0.750 0.000
0.750 0.000 0.500
```